(1)
The following is a PBE-GGA calculation of CsLi2AsAu after structural relaxation, from Alexandria.

Computed properties:
As for the energy relative to the elements: -161 kJ/mol of formula units. The density of states at the Fermi level is 2.561 states/eV per cell. The total magnetization is 0.00 μB per formula unit.

Unit cell a=4.9994 b=4.9994 c=5.6549 alpha=90.00 beta=90.00 gamma=90.00
Space group P4/mmm (No. 123)
Unique sites:
Cs  0.0000  0.0000  0.0000 [1 per cell]
Li  0.0000  0.5000  0.5000 [2 per cell]
As  0.5000  0.5000  0.5000 [1 per cell]
Au  0.5000  0.5000  0.0000 [1 per cell]

***

(2)
The following is a PBE-GGA calculation of Cs2NaAsAu after structural relaxation, from Alexandria.

Computed properties:
As for the energy relative to the elements: -56 kJ/mol of formula units. The density of states at the Fermi level is 3.830 states/eV per cell. The total magnetization is 0.00 μB per formula unit.

Unit cell a=7.2350 b=7.2350 c=4.7883 alpha=90.00 beta=90.00 gamma=90.00
Space group P4/mmm (No. 123)
Unique sites:
Cs  0.0000  0.5000  0.0000 [2 per cell]
Na  0.0000  0.0000  0.5000 [1 per cell]
As  0.5000  0.5000  0.5000 [1 per cell]
Au  0.5000  0.5000  0.0000 [1 per cell]

***

(3)
The following is a PBE-GGA calculation of Cs8AsAu2O after structural relaxation, from Alexandria.

Computed properties:
The density of states at the Fermi level is 3.684 states/eV per cell. The formation energy without anion corrections is -0.42 eV per atom. The total magnetization is 0.00 μB per formula unit.

Unit cell a=8.1707 b=8.2078 c=10.2632 alpha=89.91 beta=89.99 gamma=89.42
Space group P-1 (No. 2)
Unique sites:
Cs  0.1575  0.1975  0.2162 [2 per cell]
Cs  0.1576  0.1972  0.7835 [2 per cell]
Cs  0.2699  0.7727  0.0001 [2 per cell]
Cs  0.3316  0.7206  0.4999 [2 per cell]
As  0.0000  0.0000  0.5000 [1 per cell]
Au  0.5003  0.5000  0.2215 [2 per cell]
O  0.0000  0.0000  0.0000 [1 per cell]

***

(4)
The following is a PBE-GGA calculation of Cs2AsPdAu after structural relaxation, from Alexandria.

Computed properties:
As for the energy relative to the elements: -77 kJ/mol of formula units. The density of states at the Fermi level is 2.507 states/eV per cell. The total magnetization is 0.00 μB per formula unit.

Unit cell a=6.8638 b=6.8638 c=4.6211 alpha=90.00 beta=90.00 gamma=90.00
Space group P4/mmm (No. 123)
Unique sites:
Cs  0.0000  0.5000  0.0000 [2 per cell]
As  0.0000  0.0000  0.5000 [1 per cell]
Pd  0.0000  0.0000  0.0000 [1 per cell]
Au  0.5000  0.5000  0.5000 [1 per cell]

***

(5)
The following is a PBE-GGA calculation of Cs2As2Pd2Au after structural relaxation, from Alexandria.

Computed properties:
As for the energy relative to the elements: -313 kJ/mol of formula units. The density of states at the Fermi level is 5.420 states/eV per cell. The total magnetization is 0.00 μB per formula unit.

Unit cell a=13.3457 b=4.6325 c=9.1441 alpha=90.00 beta=125.59 gamma=90.00
Space group C2/m (No. 12)
Unique sites:
Cs  0.0574  0.0000  0.3268 [4 per cell]
As  0.2291  0.5000  0.1628 [4 per cell]
Pd  0.2412  0.5000  0.9014 [4 per cell]
Au  0.0000  0.5000  0.0000 [2 per cell]

***

(6)
The following is a PBE-GGA calculation of Cs2AsPtAu after structural relaxation, from Alexandria.

Computed properties:
As for the energy relative to the elements: -109 kJ/mol of formula units. The density of states at the Fermi level is 2.442 states/eV per cell. The total magnetization is 0.00 μB per formula unit.

Unit cell a=6.9432 b=6.9432 c=4.5765 alpha=90.00 beta=90.00 gamma=90.00
Space group P4/mmm (No. 123)
Unique sites:
Cs  0.0000  0.5000  0.0000 [2 per cell]
As  0.0000  0.0000  0.5000 [1 per cell]
Pt  0.0000  0.0000  0.0000 [1 per cell]
Au  0.5000  0.5000  0.5000 [1 per cell]